Version P
Computed, not measured: a geometry-optimized NiAgOs structure at the PBE level of DFT.

**V**: 14.63 Å³/atom
**Size of the total moment**: 0.000 μB/atom

```
data_NiAgOs
_chemical_formula_sum 'Ni4 Ag4 Os4'
_space_group_name_H-M_alt 'F m m 2'
_space_group_IT_number 42
_space_group_name_Hall 'F 2 -2'
_cell_length_a 2.7832
_cell_length_b 4.5506
_cell_length_c 13.8599
_cell_angle_alpha 90.00
_cell_angle_beta 90.00
_cell_angle_gamma 90.00
loop_
_atom_site_label
_atom_site_type_symbol
_atom_site_fract_x
_atom_site_fract_y
_atom_site_fract_z
Ni1 Ni 0.0000 0.0000 0.0000
Ag1 Ag 0.0000 0.0000 0.3339
Os1 Os 0.0000 0.0000 0.6480
```

Version Q
Computed, not measured: a geometry-optimized NiAgOs structure at the PBE level of DFT.

**V**: 17.22 Å³/atom
**Size of the total moment**: 0.540 μB/atom

```
data_NiAgOs
_chemical_formula_sum 'Ni4 Ag4 Os4'
_space_group_name_H-M_alt 'F -4 3 m'
_space_group_IT_number 216
_space_group_name_Hall 'F -4 2 3'
_cell_length_a 5.9124
_cell_length_b 5.9124
_cell_length_c 5.9124
_cell_angle_alpha 90.00
_cell_angle_beta 90.00
_cell_angle_gamma 90.00
loop_
_atom_site_label
_atom_site_type_symbol
_atom_site_fract_x
_atom_site_fract_y
_atom_site_fract_z
Ni1 Ni 0.0000 0.0000 0.0000
Ag1 Ag 0.2500 0.2500 0.7500
Os1 Os 0.0000 0.0000 0.5000
```

Version R
Computed, not measured: a geometry-optimized NiAgOs structure at the PBE level of DFT.

**V**: 14.39 Å³/atom
**Size of the total moment**: 0.000 μB/atom

```
data_NiAgOs
_chemical_formula_sum 'Ni1 Ag1 Os1'
_space_group_name_H-M_alt 'P 3 m 1'
_space_group_IT_number 156
_cell_length_a 2.7188
_cell_length_b 2.7188
_cell_length_c 6.7437
_cell_angle_alpha 90.00
_cell_angle_beta 90.00
_cell_angle_gamma 120.00
loop_
_space_group_symop_operation_xyz
'x,y,z'
'-y,x-y,z'
'-x+y,-x,z'
'-y,-x,z'
'-x+y,y,z'
'x,x-y,z'
loop_
_atom_site_label
_atom_site_type_symbol
_atom_site_fract_x
_atom_site_fract_y
_atom_site_fract_z
Ni1 Ni 0.0000 0.0000 0.0000
Ag1 Ag 0.6667 0.3333 0.6630
Os1 Os 0.3333 0.6667 0.2913
```

Version S
Computed, not measured: a geometry-optimized NiAgOs structure at the PBE level of DFT.

**V**: 14.38 Å³/atom
**Size of the total moment**: 0.000 μB/atom

```
data_NiAgOs
_chemical_formula_sum 'Ni2 Ag2 Os2'
_space_group_name_H-M_alt 'I 4 m m'
_space_group_IT_number 107
_space_group_name_Hall 'I 4 -2'
_cell_length_a 2.6807
_cell_length_b 2.6807
_cell_length_c 12.0103
_cell_angle_alpha 90.00
_cell_angle_beta 90.00
_cell_angle_gamma 90.00
loop_
_atom_site_label
_atom_site_type_symbol
_atom_site_fract_x
_atom_site_fract_y
_atom_site_fract_z
Ni1 Ni 0.0000 0.0000 0.0000
Ag1 Ag 0.0000 0.0000 0.3278
Os1 Os 0.0000 0.0000 0.6387
```

Unit: meV per atom. Relative energies: version P 152; version Q 1210; version R 0; version S 55.

Version P
Computed, not measured: a geometry-optimized NiAg3P structure at the PBE level of DFT.

**V**: 20.47 Å³/atom
**Size of the total moment**: 0.015 μB/atom

```
data_NiAg3P
_chemical_formula_sum 'Ni1 Ag3 P1'
_space_group_name_H-M_alt 'P m -3 m'
_space_group_IT_number 221
_space_group_name_Hall '-P 4 2 3'
_cell_length_a 4.6776
_cell_length_b 4.6776
_cell_length_c 4.6776
_cell_angle_alpha 90.00
_cell_angle_beta 90.00
_cell_angle_gamma 90.00
loop_
_atom_site_label
_atom_site_type_symbol
_atom_site_fract_x
_atom_site_fract_y
_atom_site_fract_z
Ni1 Ni 0.0000 0.0000 0.0000
Ag1 Ag 0.0000 0.5000 0.5000
P1 P 0.5000 0.5000 0.5000
```

Version Q
Computed, not measured: a geometry-optimized NiAg3P structure at the PBE level of DFT.

**V**: 21.20 Å³/atom
**Size of the total moment**: 0.151 μB/atom

```
data_NiAg3P
_chemical_formula_sum 'Ni1 Ag3 P1'
_space_group_name_H-M_alt 'P m -3 m'
_space_group_IT_number 221
_space_group_name_Hall '-P 4 2 3'
_cell_length_a 4.7327
_cell_length_b 4.7327
_cell_length_c 4.7327
_cell_angle_alpha 90.00
_cell_angle_beta 90.00
_cell_angle_gamma 90.00
loop_
_atom_site_label
_atom_site_type_symbol
_atom_site_fract_x
_atom_site_fract_y
_atom_site_fract_z
Ni1 Ni 0.0000 0.0000 0.0000
Ag1 Ag 0.0000 0.0000 0.5000
P1 P 0.5000 0.5000 0.5000
```

Unit: meV per atom. Relative energies: version P 0; version Q 374.

Version P
Computed, not measured: a geometry-optimized NiAgPS2 structure at the PBE level of DFT.

**V**: 22.03 Å³/atom
**Size of the total moment**: 0.306 μB/atom

```
data_NiAgPS2
_chemical_formula_sum 'Ni1 Ag1 P1 S2'
_space_group_name_H-M_alt 'P 4/m m m'
_space_group_IT_number 123
_space_group_name_Hall '-P 4 2'
_cell_length_a 4.8515
_cell_length_b 4.8515
_cell_length_c 4.6807
_cell_angle_alpha 90.00
_cell_angle_beta 90.00
_cell_angle_gamma 90.00
loop_
_atom_site_label
_atom_site_type_symbol
_atom_site_fract_x
_atom_site_fract_y
_atom_site_fract_z
Ni1 Ni 0.0000 0.0000 0.0000
Ag1 Ag 0.5000 0.5000 0.5000
P1 P 0.5000 0.5000 0.0000
S1 S 0.0000 0.5000 0.5000
```

Version Q
Computed, not measured: a geometry-optimized NiAgPS2 structure at the PBE level of DFT.

**V**: 18.50 Å³/atom
**Size of the total moment**: 0.000 μB/atom

```
data_NiAgPS2
_chemical_formula_sum 'Ni1 Ag1 P1 S2'
_space_group_name_H-M_alt 'P 4/m m m'
_space_group_IT_number 123
_space_group_name_Hall '-P 4 2'
_cell_length_a 4.7211
_cell_length_b 4.7211
_cell_length_c 4.1502
_cell_angle_alpha 90.00
_cell_angle_beta 90.00
_cell_angle_gamma 90.00
loop_
_atom_site_label
_atom_site_type_symbol
_atom_site_fract_x
_atom_site_fract_y
_atom_site_fract_z
Ni1 Ni 0.0000 0.0000 0.0000
Ag1 Ag 0.5000 0.5000 0.5000
P1 P 0.0000 0.0000 0.5000
S1 S 0.0000 0.5000 0.0000
```

Unit: meV per atom. Relative energies: version P 834; version Q 0.

Version P
Computed, not measured: a geometry-optimized NiAgP2S structure at the PBE level of DFT.

**V**: 21.80 Å³/atom
**Size of the total moment**: 0.100 μB/atom

```
data_NiAgP2S
_chemical_formula_sum 'Ni1 Ag1 P2 S1'
_space_group_name_H-M_alt 'P 4/m m m'
_space_group_IT_number 123
_space_group_name_Hall '-P 4 2'
_cell_length_a 4.7462
_cell_length_b 4.7462
_cell_length_c 4.8381
_cell_angle_alpha 90.00
_cell_angle_beta 90.00
_cell_angle_gamma 90.00
loop_
_atom_site_label
_atom_site_type_symbol
_atom_site_fract_x
_atom_site_fract_y
_atom_site_fract_z
Ni1 Ni 0.0000 0.0000 0.0000
Ag1 Ag 0.5000 0.5000 0.5000
P1 P 0.0000 0.5000 0.5000
S1 S 0.5000 0.5000 0.0000
```

Version Q
Computed, not measured: a geometry-optimized NiAgP2S structure at the PBE level of DFT.

**V**: 18.23 Å³/atom
**Size of the total moment**: 0.000 μB/atom

```
data_NiAgP2S
_chemical_formula_sum 'Ni1 Ag1 P2 S1'
_space_group_name_H-M_alt 'P 4/m m m'
_space_group_IT_number 123
_space_group_name_Hall '-P 4 2'
_cell_length_a 4.2986
_cell_length_b 4.2986
_cell_length_c 4.9321
_cell_angle_alpha 90.00
_cell_angle_beta 90.00
_cell_angle_gamma 90.00
loop_
_atom_site_label
_atom_site_type_symbol
_atom_site_fract_x
_atom_site_fract_y
_atom_site_fract_z
Ni1 Ni 0.0000 0.0000 0.0000
Ag1 Ag 0.5000 0.5000 0.5000
P1 P 0.0000 0.5000 0.0000
S1 S 0.0000 0.0000 0.5000
```

Unit: meV per atom. Relative energies: version P 892; version Q 0.

Version P
Computed, not measured: a geometry-optimized Pa2NiAg structure at the PBE level of DFT.

**V**: 20.25 Å³/atom
**Size of the total moment**: 0.000 μB/atom

```
data_Pa2NiAg
_chemical_formula_sum 'Pa2 Ni1 Ag1'
_space_group_name_H-M_alt 'P 4/m m m'
_space_group_IT_number 123
_space_group_name_Hall '-P 4 2'
_cell_length_a 3.0801
_cell_length_b 3.0801
_cell_length_c 8.5394
_cell_angle_alpha 90.00
_cell_angle_beta 90.00
_cell_angle_gamma 90.00
loop_
_atom_site_label
_atom_site_type_symbol
_atom_site_fract_x
_atom_site_fract_y
_atom_site_fract_z
Pa1 Pa 0.0000 0.0000 0.2194
Ni1 Ni 0.5000 0.5000 0.0000
Ag1 Ag 0.5000 0.5000 0.5000
```

Version Q
Computed, not measured: a geometry-optimized Pa2NiAg structure at the PBE level of DFT.

**V**: 22.00 Å³/atom
**Size of the total moment**: 0.000 μB/atom

```
data_Pa2NiAg
_chemical_formula_sum 'Pa6 Ni3 Ag3'
_space_group_name_H-M_alt 'R -3 m'
_space_group_IT_number 166
_space_group_name_Hall '-R 3 2"'
_cell_length_a 3.1263
_cell_length_b 3.1263
_cell_length_c 31.1826
_cell_angle_alpha 90.00
_cell_angle_beta 90.00
_cell_angle_gamma 120.00
loop_
_atom_site_label
_atom_site_type_symbol
_atom_site_fract_x
_atom_site_fract_y
_atom_site_fract_z
Pa1 Pa 0.0000 0.0000 0.0990
Ni1 Ni 0.0000 0.0000 0.5000
Ag1 Ag 0.0000 0.0000 0.0000
```

Unit: meV per atom. Relative energies: version P 0; version Q 312.

Version P
Computed, not measured: a geometry-optimized Ni2Ag2Pb structure at the PBE level of DFT.

**V**: 17.23 Å³/atom
**Size of the total moment**: 0.000 μB/atom

```
data_Ni2Ag2Pb
_chemical_formula_sum 'Ni4 Ag4 Pb2'
_space_group_name_H-M_alt 'P 4/m b m'
_space_group_IT_number 127
_space_group_name_Hall '-P 4 2ab'
_cell_length_a 7.6013
_cell_length_b 7.6013
_cell_length_c 2.9819
_cell_angle_alpha 90.00
_cell_angle_beta 90.00
_cell_angle_gamma 90.00
loop_
_atom_site_label
_atom_site_type_symbol
_atom_site_fract_x
_atom_site_fract_y
_atom_site_fract_z
Ni1 Ni 0.1649 0.3351 0.0000
Ag1 Ag 0.1298 0.6298 0.5000
Pb1 Pb 0.0000 0.0000 0.5000
```

Version Q
Computed, not measured: a geometry-optimized Ni2Ag2Pb structure at the PBE level of DFT.

**V**: 18.02 Å³/atom
**Size of the total moment**: 0.000 μB/atom

```
data_Ni2Ag2Pb
_chemical_formula_sum 'Ni4 Ag4 Pb2'
_space_group_name_H-M_alt 'I 4/m m m'
_space_group_IT_number 139
_space_group_name_Hall '-I 4 2'
_cell_length_a 3.8851
_cell_length_b 3.8851
_cell_length_c 11.9391
_cell_angle_alpha 90.00
_cell_angle_beta 90.00
_cell_angle_gamma 90.00
loop_
_atom_site_label
_atom_site_type_symbol
_atom_site_fract_x
_atom_site_fract_y
_atom_site_fract_z
Ni1 Ni 0.0000 0.0000 0.0968
Ag1 Ag 0.0000 0.5000 0.2500
Pb1 Pb 0.0000 0.0000 0.5000
```

Unit: meV per atom. Relative energies: version P 28; version Q 0.